Record 1
Computed, not measured: crystalline Li2InCl5 at its relaxed geometry at the GGA-PBE level of DFT.

Lattice parameters (Å, degrees): 10.531 12.305 7.533 90.00 90.00 90.00
Space group Pnnm (No. 58)
Asymmetric unit:
Li: 0.000 0.000 0.217 x4
Li: 0.122 0.297 0.000 x4
In: 0.243 0.243 0.500 x4
Cl: 0.055 0.131 0.500 x4
Cl: 0.085 0.617 0.000 x4
Cl: 0.093 0.114 0.000 x4
Cl: 0.245 0.364 0.250 x8

Summary:
Its relative energy among the computed polymorphs is 0.00 eV/f.u. For the energy relative to the elements, uncorrected, the calculation gives -1094 kJ/mol of formula units. As for the density of states at the Fermi level: 0.000 states/eV/atom.



Record 2
Computed, not measured: crystalline LaGaH3 at its relaxed geometry at the GGA-PBE level of DFT.

Lattice parameters (Å, degrees): 3.867 3.867 3.867 90.00 90.00 90.00
Space group Pm-3m (No. 221)
Asymmetric unit:
La: 0.000 0.000 0.000 x1
Ga: 0.500 0.500 0.500 x1
H: 0.000 0.500 0.500 x3

Summary:
Its relative energy among the computed polymorphs is 1.56 eV/f.u. As for the density of states at the Fermi level: 0.642 states/eV/atom.



Record 3
Computed, not measured: crystalline SrP2RhO8 at its relaxed geometry at the GGA-PBE level of DFT.

Lattice parameters (Å, degrees): 4.8625 4.8625 23.1708 90.00 90.00 120.00
Space group R32 (No. 155, hexagonal axes)
Asymmetric unit:
Sr: 0.0000 0.0000 0.0000 x3
P: 0.0000 0.0000 0.2444 x6
Rh: 0.0000 0.0000 0.5000 x3
O: 0.0000 0.0000 0.3107 x6
O: 0.0065 0.3913 0.8910 x18

Summary:
For the energy relative to the elements, uncorrected, the calculation gives -2166 kJ/mol of formula units. As for the density of states at the Fermi level: 0.699 states/eV/atom.



Record 4
Computed, not measured: crystalline AcCd3Pt3 at its relaxed geometry at the GGA-PBE level of DFT.

Lattice parameters (Å, degrees): 9.1943 9.1943 4.4024 90.00 90.00 120.00
Space group P6_3/m (No. 176)
Asymmetric unit:
Ac: 0.3333 0.6667 0.2500 x2
Cd: 0.0461 0.2730 0.7500 x6
Pt: 0.0472 0.6035 0.7500 x6

Summary:
Its relative energy among the computed polymorphs is 0.00 eV/f.u. Its energy of formation is -0.56 eV per atom. As for the density of states at the Fermi level: 0.373 states/eV/atom.



Record 5
Computed, not measured: crystalline Ba2GeAs3Pt4 at its relaxed geometry at the GGA-PBE level of DFT.

Lattice parameters (Å, degrees): 4.567 4.567 10.318 90.00 90.00 90.00
Space group P-4m2 (No. 115)
Asymmetric unit:
Ba: 0.000 0.500 0.249 x2
Ge: 0.500 0.500 0.000 x1
As: 0.000 0.000 0.000 x1
As: 0.000 0.500 0.625 x2
Pt: 0.000 0.000 0.500 x1
Pt: 0.000 0.500 0.883 x2
Pt: 0.500 0.500 0.500 x1

Summary:
Its energy of formation is -0.75 eV per atom. As for the density of states at the Fermi level: 0.813 states/eV/atom.



Record 6
Computed, not measured: crystalline K5Li2Hg12 at its relaxed geometry at the GGA-PBE level of DFT.

Lattice parameters (Å, degrees): 17.253 9.113 7.459 90.00 94.99 90.00
Space group C2/m (No. 12)
Asymmetric unit:
K: 0.000 0.000 0.000 x2
K: 0.210 0.500 0.542 x4
K: 0.248 0.000 0.944 x4
Li: 0.000 0.286 0.500 x4
Hg: 0.023 0.500 0.217 x4
Hg: 0.089 0.000 0.541 x4
Hg: 0.109 0.273 0.823 x8
Hg: 0.131 0.226 0.239 x8

Summary:
Its energy of formation is -0.22 eV per atom. As for the density of states at the Fermi level: 0.443 states/eV/atom.



Record 7
Computed, not measured: crystalline SrNpSi2O8 at its relaxed geometry at the GGA-PBE level of DFT.

Lattice parameters (Å, degrees): 7.089 7.089 6.196 90.00 90.00 90.00
Space group I-4m2 (No. 119)
Asymmetric unit:
Sr: 0.000 0.000 0.000 x2
Np: 0.000 0.500 0.750 x2
Si: 0.000 0.000 0.500 x2
Si: 0.000 0.500 0.250 x2
O: 0.000 0.192 0.655 x8
O: 0.000 0.332 0.068 x8

Summary:
For the energy relative to the elements, uncorrected, the calculation gives -3074 kJ/mol of formula units. As for the density of states at the Fermi level: 0.577 states/eV/atom.



Record 8
Computed, not measured: crystalline TlCdSbTe2 at its relaxed geometry at the GGA-PBE level of DFT.

Lattice parameters (Å, degrees): 5.832 5.832 5.735 90.00 90.00 90.00
Space group P4/mmm (No. 123)
Asymmetric unit:
Tl: 0.000 0.000 0.000 x1
Cd: 0.500 0.500 0.500 x1
Sb: 0.000 0.000 0.500 x1
Te: 0.000 0.500 0.000 x2

Summary:
Its relative energy among the computed polymorphs is 1.86 eV/f.u. For the energy relative to the elements, uncorrected, the calculation gives 334 kJ/mol of formula units. As for the density of states at the Fermi level: 1.533 states/eV/atom.



Record 9
Computed, not measured: crystalline CaY at its relaxed geometry at the GGA-PBE level of DFT.

Lattice parameters (Å, degrees): 3.6751 3.6751 6.1609 90.00 90.00 120.00
Space group P-6m2 (No. 187)
Asymmetric unit:
Ca: 0.0000 0.0000 0.0000 x1
Y: 0.3333 0.6667 0.5000 x1

Summary:
Its relative energy among the computed polymorphs is 0.15 eV/f.u. Its energy of formation is 0.12 eV per atom. As for the density of states at the Fermi level: 1.805 states/eV/atom.



Record 10
Computed, not measured: crystalline CsTlZnAu3 at its relaxed geometry at the GGA-PBE level of DFT.

Lattice parameters (Å, degrees): 7.303 7.267 7.933 90.00 117.31 90.00
Space group P2_1/m (No. 11)
Asymmetric unit:
Cs: 0.235 0.250 0.468 x2
Tl: 0.461 0.750 0.921 x2
Zn: 0.083 0.750 0.165 x2
Au: 0.199 0.000 0.999 x4
Au: 0.259 0.750 0.522 x2

Summary:
Its energy of formation is -0.14 eV per atom. As for the density of states at the Fermi level: 0.295 states/eV/atom.



Record 11
Computed, not measured: crystalline PaTiZn2 at its relaxed geometry at the GGA-PBE level of DFT.

Lattice parameters (Å, degrees): 2.961 2.961 8.176 90.00 90.00 90.00
Space group P4/mmm (No. 123)
Asymmetric unit:
Pa: 0.000 0.000 0.000 x1
Ti: 0.000 0.000 0.500 x1
Zn: 0.500 0.500 0.280 x2

Summary:
Its relative energy among the computed polymorphs is 0.00 eV/f.u. Its energy of formation is -0.09 eV per atom. As for the density of states at the Fermi level: 1.193 states/eV/atom.



Record 12
Computed, not measured: crystalline TbYSe3 at its relaxed geometry at the GGA-PBE level of DFT.

Lattice parameters (Å, degrees): 16.741 4.279 8.766 90.00 117.51 90.00
Space group C2/m (No. 12)
Asymmetric unit:
Tb: 0.130 0.000 0.290 x4
Y: 0.149 0.500 0.761 x4
Se: 0.044 0.500 0.361 x4
Se: 0.145 0.000 0.975 x4
Se: 0.234 0.000 0.654 x4

Summary:
Its relative energy among the computed polymorphs is 0.15 eV/f.u. For the energy relative to the elements, uncorrected, the calculation gives -878 kJ/mol of formula units.



Record 13
Computed, not measured: crystalline LiAcPd2 at its relaxed geometry at the GGA-PBE level of DFT.

Lattice parameters (Å, degrees): 3.712 3.712 6.174 90.00 90.00 90.00
Space group P4/mmm (No. 123)
Asymmetric unit:
Li: 0.000 0.000 0.000 x1
Ac: 0.000 0.000 0.500 x1
Pd: 0.500 0.500 0.223 x2

Summary:
Its relative energy among the computed polymorphs is 0.59 eV/f.u. Its energy of formation is -0.53 eV per atom. As for the density of states at the Fermi level: 0.206 states/eV/atom.



Record 14
Computed, not measured: crystalline Mg3Al2Zn9 at its relaxed geometry at the GGA-PBE level of DFT.

Lattice parameters (Å, degrees): 4.167 9.982 11.401 90.00 90.00 90.00
Space group Immm (No. 71)
Asymmetric unit:
Mg: 0.000 0.000 0.000 x2
Mg: 0.000 0.000 0.274 x4
Al: 0.000 0.157 0.500 x4
Zn: 0.000 0.282 0.155 x8
Zn: 0.000 0.374 0.371 x8
Zn: 0.000 0.500 0.000 x2

Summary:
Its energy of formation is -0.04 eV per atom. As for the density of states at the Fermi level: 0.230 states/eV/atom.



Record 15
Computed, not measured: crystalline Ba2NbPd2 at its relaxed geometry at the GGA-PBE level of DFT.

Lattice parameters (Å, degrees): 3.723 3.723 21.082 90.00 90.00 90.00
Space group I4/mmm (No. 139)
Asymmetric unit:
Ba: 0.000 0.000 0.122 x4
Nb: 0.000 0.000 0.500 x2
Pd: 0.000 0.500 0.250 x4

Summary:
Its relative energy among the computed polymorphs is 0.07 eV/f.u. Its energy of formation is 0.50 eV per atom. As for the density of states at the Fermi level: 1.359 states/eV/atom.



Record 16
Computed, not measured: crystalline Zr2VCuSn at its relaxed geometry at the GGA-PBE level of DFT.

Lattice parameters (Å, degrees): 4.812 4.812 4.688 90.00 90.00 90.00
Space group P4/mmm (No. 123)
Asymmetric unit:
Zr: 0.000 0.500 0.000 x2
V: 0.000 0.000 0.000 x1
Cu: 0.000 0.000 0.500 x1
Sn: 0.500 0.500 0.500 x1

Summary:
Its energy of formation is 0.56 eV per atom. As for the density of states at the Fermi level: 0.783 states/eV/atom.



Record 17
Computed, not measured: crystalline PrSm3Te4 at its relaxed geometry at the GGA-PBE level of DFT.

Lattice parameters (Å, degrees): 4.3988 4.3988 30.1001 90.00 90.00 120.00
Space group P6_3/mmc (No. 194)
Asymmetric unit:
Pr: 0.3333 0.6667 0.2500 x2
Sm: 0.0000 0.0000 0.0000 x2
Sm: 0.3333 0.6667 0.6225 x4
Te: 0.0000 0.0000 0.1841 x4
Te: 0.3333 0.6667 0.0615 x4

Summary:
Its relative energy among the computed polymorphs is 0.04 eV/f.u. For the energy relative to the elements, uncorrected, the calculation gives -1073 kJ/mol of formula units. As for the density of states at the Fermi level: 0.653 states/eV/atom.



Record 18
Computed, not measured: crystalline MgSb2TeC at its relaxed geometry at the GGA-PBE level of DFT.

Lattice parameters (Å, degrees): 4.775 4.775 4.934 90.00 90.00 90.00
Space group P4/mmm (No. 123)
Asymmetric unit:
Mg: 0.000 0.000 0.000 x1
Sb: 0.000 0.500 0.500 x2
Te: 0.500 0.500 0.000 x1
C: 0.500 0.500 0.500 x1

Summary:
Its relative energy among the computed polymorphs is 0.00 eV/f.u. For the energy relative to the elements, uncorrected, the calculation gives 391 kJ/mol of formula units. As for the density of states at the Fermi level: 0.678 states/eV/atom.



Record 19
Computed, not measured: crystalline La2Pr6SmY3 at its relaxed geometry at the GGA-PBE level of DFT.

Lattice parameters (Å, degrees): 6.384 11.064 12.128 90.00 100.11 90.00
Space group C2/m (No. 12)
Asymmetric unit:
La: 0.000 0.167 0.000 x4
Pr: 0.248 0.500 0.746 x4
Pr: 0.249 0.166 0.746 x8
Sm: 0.000 0.500 0.000 x2
Y: 0.000 0.000 0.500 x2
Y: 0.000 0.334 0.500 x4

Summary:
Its energy of formation is 0.01 eV per atom. As for the density of states at the Fermi level: 1.476 states/eV/atom.



Record 20
Computed, not measured: crystalline NbFeSi3 at its relaxed geometry at the GGA-PBE level of DFT.

Lattice parameters (Å, degrees): 4.288 4.288 4.288 90.00 90.00 90.00
Space group Pm-3m (No. 221)
Asymmetric unit:
Nb: 0.000 0.000 0.000 x1
Fe: 0.500 0.500 0.500 x1
Si: 0.000 0.500 0.500 x3

Summary:
For the energy relative to the elements, uncorrected, the calculation gives 299 kJ/mol of formula units. As for the density of states at the Fermi level: 1.334 states/eV/atom.



Table of density (g/cm³), in record order: 2.08 6.08 3.99 11.84 10.44 7.44 5.43 5.91 2.97 8.82 9.49 5.78 8.72 5.01 6.60 6.36 7.26 6.01 6.07 4.91